Fe3As2 | PBE-GGA | optimized geometry

```
data_Fe3As2
_chemical_formula_sum 'Fe18 As12'
_cell_length_a 6.1173
_cell_length_b 6.1173
_cell_length_c 13.6260
_cell_angle_alpha 90.00
_cell_angle_beta 90.00
_cell_angle_gamma 120.00
_symmetry_space_group_name_H-M 'R -3 c'
_symmetry_Int_Tables_number 167
_symmetry_space_group_name_Hall '-R 3 2"c'
loop_
_atom_site_label
_atom_site_type_symbol
_atom_site_fract_x
_atom_site_fract_y
_atom_site_fract_z
_atom_site_occupancy
Fe1 Fe 0.0000 0.2406 0.2500 1
As1 As 0.0000 0.0000 0.1065 1
```

- total DFT energy (no corrections) (eV/f.u.) = -33.60